Record 1
The following is a PBE calculation of crystalline La3NdY2Er6 at its relaxed geometry, from Alexandria via LeMat-Bulk.

Values from the calculation:
The total magnetization comes out at 0.0 μB per formula unit. As for the formation energy: 22 meV per atom. For the total DFT energy (no corrections), the calculation gives -4.97 eV/atom.

Unit cell a=6.233 b=6.233 c=11.825 alpha=95.03 beta=95.03 gamma=120.01
Fractional positions:
Er 0.585 0.918 0.753
Er 0.918 0.585 0.753
Er 0.749 0.749 0.247
Er 0.415 0.082 0.247
Er 0.251 0.251 0.753
Er 0.082 0.415 0.247
La 0.167 0.833 0.500
La 0.833 0.167 0.500
La 0.500 0.500 0.500
Y 0.667 0.333 0.000
Y 0.333 0.667 0.000
Nd 0.000 0.000 0.000



Record 2
The following is a PBE calculation of crystalline BeSe2NO at its relaxed geometry, from Alexandria via LeMat-Bulk.

Values from the calculation:
The total magnetization comes out at 0.0 μB per formula unit. For the total DFT energy (no corrections), the calculation gives -3.92 eV/atom. Its energy relative to the elements, uncorrected is 0.88 eV/atom.

Unit cell a=4.726 b=4.726 c=3.028 alpha=90.00 beta=90.00 gamma=90.00
Fractional positions:
Se 0.500 0.000 0.000
Se 0.000 0.500 0.000
N 0.000 0.000 0.500
Be 0.000 0.000 0.000
O 0.500 0.500 0.500